The following is a PBE+U calculation of a geometry-optimized Rb2TlV2O6 structure, from the Alexandria database.

Summary:
VASP energy (eV/atom): -5.9715
Total magnetization (μB per atom): 0.00

Cell: 6.310 6.310 7.170 Å, 116.60 116.60 59.95°
Atoms (fractional coordinates):
1 Rb 0.209 0.209 0.176
2 Rb 0.791 0.791 0.824
3 Tl 0.000 0.000 0.500
4 V 0.451 0.451 0.787
5 V 0.549 0.549 0.213
6 O 0.237 0.699 0.226
7 O 0.269 0.269 0.671
8 O 0.301 0.763 0.774
9 O 0.699 0.237 0.226
10 O 0.731 0.731 0.329
11 O 0.763 0.301 0.774